## EuErGa2 (PBE-GGA)

Data for crystalline EuErGa2 at its relaxed geometry.

POSCAR file:
```
EuErGa2
1.0
3.657 0.000 0.000
0.000 3.657 0.000
0.000 0.000 7.256
Ga Er Eu
2 1 1
Direct
0.000 0.000 0.224 Ga
0.000 0.000 0.776 Ga
0.500 0.500 0.000 Er
0.500 0.500 0.500 Eu
```

Computed properties:
SG: P4/mmm (123)
Energy above the lowest structure with this stoichiometry, meV per atom: 0
Density, g/cm³: 7.85